# 1
ErTmCuSi: optimized geometry, PBE.

Structure (CIF):
```
data_ErTmCuSi
_space_group_name_H-M_alt 'F -4 3 m'
_space_group_IT_number 216
_space_group_name_Hall 'F -4 2 3'
_cell_length_a 6.8876
_cell_length_b 6.8876
_cell_length_c 6.8876
_cell_angle_alpha 90.00
_cell_angle_beta 90.00
_cell_angle_gamma 90.00
loop_
_atom_site_label
_atom_site_type_symbol
_atom_site_fract_x
_atom_site_fract_y
_atom_site_fract_z
Er1 Er 0.0000 0.0000 0.0000
Tm1 Tm 0.0000 0.0000 0.5000
Cu1 Cu 0.2500 0.2500 0.2500
Si1 Si 0.2500 0.2500 0.7500
```

- DFT total energy (eV/cell) = -81.16
- calculated density (Mg/m³) = 8.697
- spin magnetization (μB/f.u.) = 0.00

# 2
YErCuSi: optimized geometry, PBE.

Structure (CIF):
```
data_YErCuSi
_space_group_name_H-M_alt 'A m m 2'
_space_group_IT_number 38
_space_group_name_Hall 'A 2 -2'
_cell_length_a 4.0722
_cell_length_b 4.0474
_cell_length_c 10.6387
_cell_angle_alpha 90.00
_cell_angle_beta 90.00
_cell_angle_gamma 90.00
loop_
_atom_site_label
_atom_site_type_symbol
_atom_site_fract_x
_atom_site_fract_y
_atom_site_fract_z
Y1 Y 0.0000 0.0000 0.0000
Er1 Er 0.5000 0.0000 0.2799
Cu1 Cu 0.5000 0.0000 0.5755
Si1 Si 0.0000 0.0000 0.7140
```

- DFT total energy (eV/cell) = -45.49
- calculated density (Mg/m³) = 6.587
- spin magnetization (μB/f.u.) = 0.00

# 3
YErCuSi: optimized geometry, PBE.

Structure (CIF):
```
data_YErCuSi
_space_group_name_H-M_alt 'F -4 3 m'
_space_group_IT_number 216
_space_group_name_Hall 'F -4 2 3'
_cell_length_a 6.9474
_cell_length_b 6.9474
_cell_length_c 6.9474
_cell_angle_alpha 90.00
_cell_angle_beta 90.00
_cell_angle_gamma 90.00
loop_
_atom_site_label
_atom_site_type_symbol
_atom_site_fract_x
_atom_site_fract_y
_atom_site_fract_z
Y1 Y 0.0000 0.0000 0.0000
Er1 Er 0.0000 0.0000 0.5000
Cu1 Cu 0.2500 0.2500 0.7500
Si1 Si 0.2500 0.2500 0.2500
```

- DFT total energy (eV/cell) = -89.19
- calculated density (Mg/m³) = 6.889
- spin magnetization (μB/f.u.) = 0.00

# 4
SmEr2Cu3: optimized geometry, PBE.

Structure (CIF):
```
data_SmEr2Cu3
_space_group_name_H-M_alt 'P 4/m m m'
_space_group_IT_number 123
_space_group_name_Hall '-P 4 2'
_cell_length_a 3.4589
_cell_length_b 3.4589
_cell_length_c 10.4726
_cell_angle_alpha 90.00
_cell_angle_beta 90.00
_cell_angle_gamma 90.00
loop_
_atom_site_label
_atom_site_type_symbol
_atom_site_fract_x
_atom_site_fract_y
_atom_site_fract_z
Sm1 Sm 0.0000 0.0000 0.0000
Er1 Er 0.0000 0.0000 0.3370
Cu1 Cu 0.5000 0.5000 0.1787
Cu2 Cu 0.5000 0.5000 0.5000
```

- formation energy from the elements (eV per atom) = -0.25
- DFT total energy (eV/cell) = -27.62
- calculated density (Mg/m³) = 8.953
- spin magnetization (μB/f.u.) = 0.00

# 5
SmErCu: optimized geometry, PBE.

Structure (CIF):
```
data_SmErCu
_space_group_name_H-M_alt 'P 3 m 1'
_space_group_IT_number 156
_space_group_name_Hall 'P 3 -2"'
_cell_length_a 3.5986
_cell_length_b 3.5986
_cell_length_c 7.0507
_cell_angle_alpha 90.00
_cell_angle_beta 90.00
_cell_angle_gamma 120.00
loop_
_atom_site_label
_atom_site_type_symbol
_atom_site_fract_x
_atom_site_fract_y
_atom_site_fract_z
Sm1 Sm 0.0000 0.0000 0.0000
Er1 Er 0.3333 0.6667 0.5773
Cu1 Cu 0.6667 0.3333 0.3006
```

- formation energy from the elements (eV per atom) = 0.04
- DFT total energy (eV/cell) = -13.26
- calculated density (Mg/m³) = 8.004
- spin magnetization (μB/f.u.) = 0.00

# 6
Sm2ErCu: optimized geometry, PBE.

Structure (CIF):
```
data_Sm2ErCu
_space_group_name_H-M_alt 'P 4/m m m'
_space_group_IT_number 123
_space_group_name_Hall '-P 4 2'
_cell_length_a 3.5735
_cell_length_b 3.5735
_cell_length_c 8.5799
_cell_angle_alpha 90.00
_cell_angle_beta 90.00
_cell_angle_gamma 90.00
loop_
_atom_site_label
_atom_site_type_symbol
_atom_site_fract_x
_atom_site_fract_y
_atom_site_fract_z
Sm1 Sm 0.0000 0.0000 0.2029
Er1 Er 0.5000 0.5000 0.5000
Cu1 Cu 0.5000 0.5000 0.0000
```

- formation energy from the elements (eV per atom) = -0.06
- DFT total energy (eV/cell) = -18.32
- calculated density (Mg/m³) = 8.056
- spin magnetization (μB/f.u.) = 0.00

# 7
SmEr4Cu5: optimized geometry, PBE.

Structure (CIF):
```
data_SmEr4Cu5
_space_group_name_H-M_alt 'P 4/m m m'
_space_group_IT_number 123
_space_group_name_Hall '-P 4 2'
_cell_length_a 3.4346
_cell_length_b 3.4346
_cell_length_c 17.4843
_cell_angle_alpha 90.00
_cell_angle_beta 90.00
_cell_angle_gamma 90.00
loop_
_atom_site_label
_atom_site_type_symbol
_atom_site_fract_x
_atom_site_fract_y
_atom_site_fract_z
Sm1 Sm 0.0000 0.0000 0.0000
Er1 Er 0.0000 0.0000 0.2037
Er2 Er 0.0000 0.0000 0.4011
Cu1 Cu 0.5000 0.5000 0.1082
Cu2 Cu 0.5000 0.5000 0.3023
Cu3 Cu 0.5000 0.5000 0.5000
```

- formation energy from the elements (eV per atom) = -0.26
- DFT total energy (eV/cell) = -46.07
- calculated density (Mg/m³) = 9.155
- spin magnetization (μB/f.u.) = 0.00

# 8
SmEr3Cu: optimized geometry, PBE.

Structure (CIF):
```
data_SmEr3Cu
_space_group_name_H-M_alt 'P m -3 m'
_space_group_IT_number 221
_space_group_name_Hall '-P 4 2 3'
_cell_length_a 5.3326
_cell_length_b 5.3326
_cell_length_c 5.3326
_cell_angle_alpha 90.00
_cell_angle_beta 90.00
_cell_angle_gamma 90.00
loop_
_atom_site_label
_atom_site_type_symbol
_atom_site_fract_x
_atom_site_fract_y
_atom_site_fract_z
Sm1 Sm 0.0000 0.0000 0.0000
Er1 Er 0.0000 0.5000 0.5000
Cu1 Cu 0.5000 0.5000 0.5000
```

- formation energy from the elements (eV per atom) = 0.08
- DFT total energy (eV/cell) = -22.08
- calculated density (Mg/m³) = 7.837
- spin magnetization (μB/f.u.) = 0.00

# 9
Sm5ErCu6: optimized geometry, PBE.

Structure (CIF):
```
data_Sm5ErCu6
_space_group_name_H-M_alt 'C 1 2/m 1'
_space_group_IT_number 12
_space_group_name_Hall '-C 2y'
_cell_length_a 15.8311
_cell_length_b 7.0040
_cell_length_c 5.0111
_cell_angle_alpha 90.00
_cell_angle_beta 108.36
_cell_angle_gamma 90.00
loop_
_atom_site_label
_atom_site_type_symbol
_atom_site_fract_x
_atom_site_fract_y
_atom_site_fract_z
Sm1 Sm 0.0000 0.0000 0.0000
Sm2 Sm 0.1663 0.0000 0.6665
Sm3 Sm 0.1668 0.5000 0.6665
Er1 Er 0.0000 0.5000 0.0000
Cu1 Cu 0.0000 0.2618 0.5000
Cu2 Cu 0.1632 0.2561 0.1626
```

- formation energy from the elements (eV per atom) = -0.20
- DFT total energy (eV/cell) = -110.16
- calculated density (Mg/m³) = 8.189
- spin magnetization (μB/f.u.) = 0.00

# 10
Sm2ErCu: optimized geometry, PBE.

Structure (CIF):
```
data_Sm2ErCu
_space_group_name_H-M_alt 'C m c m'
_space_group_IT_number 63
_space_group_name_Hall '-C 2c 2'
_cell_length_a 4.9345
_cell_length_b 11.5880
_cell_length_c 7.6930
_cell_angle_alpha 90.00
_cell_angle_beta 90.00
_cell_angle_gamma 90.00
loop_
_atom_site_label
_atom_site_type_symbol
_atom_site_fract_x
_atom_site_fract_y
_atom_site_fract_z
Sm1 Sm 0.0000 0.1452 0.0307
Er1 Er 0.0000 0.4566 0.2500
Cu1 Cu 0.0000 0.2997 0.7500
```

- formation energy from the elements (eV per atom) = -0.04
- DFT total energy (eV/cell) = -73.00
- calculated density (Mg/m³) = 8.026
- spin magnetization (μB/f.u.) = 0.00

# 11
SmEr2Cu4: optimized geometry, PBE.

Structure (CIF):
```
data_SmEr2Cu4
_space_group_name_H-M_alt 'I 4/m m m'
_space_group_IT_number 139
_space_group_name_Hall '-I 4 2'
_cell_length_a 6.8722
_cell_length_b 6.8722
_cell_length_c 6.6146
_cell_angle_alpha 90.00
_cell_angle_beta 90.00
_cell_angle_gamma 90.00
loop_
_atom_site_label
_atom_site_type_symbol
_atom_site_fract_x
_atom_site_fract_y
_atom_site_fract_z
Sm1 Sm 0.0000 0.0000 0.0000
Er1 Er 0.0000 0.5000 0.0000
Cu1 Cu 0.2500 0.2500 0.2500
```

- formation energy from the elements (eV per atom) = 0.05
- DFT total energy (eV/cell) = -59.74
- calculated density (Mg/m³) = 7.857
- spin magnetization (μB/f.u.) = 0.00

# 12
SmEr2Cu: optimized geometry, PBE.

Structure (CIF):
```
data_SmEr2Cu
_space_group_name_H-M_alt 'P 4/m m m'
_space_group_IT_number 123
_space_group_name_Hall '-P 4 2'
_cell_length_a 3.4770
_cell_length_b 3.4770
_cell_length_c 8.6833
_cell_angle_alpha 90.00
_cell_angle_beta 90.00
_cell_angle_gamma 90.00
loop_
_atom_site_label
_atom_site_type_symbol
_atom_site_fract_x
_atom_site_fract_y
_atom_site_fract_z
Sm1 Sm 0.0000 0.0000 0.0000
Er1 Er 0.5000 0.5000 0.3065
Cu1 Cu 0.0000 0.0000 0.5000
```

- formation energy from the elements (eV per atom) = -0.11
- DFT total energy (eV/cell) = -18.38
- calculated density (Mg/m³) = 8.675
- spin magnetization (μB/f.u.) = 0.00